[1]
The following is a DFT calculation (GGA-PBEsol) of crystalline FePO2 at its relaxed geometry.

## Properties
**M_tot**: 3.0 μB per formula unit
**Formation energy (no corrections)**: -355.3 meV/atom
**Uncorrected energy**: -6.669 eV/atom
**Theoretical density**: 4.310 g/cm³

Structure (extended XYZ):
```
4
Lattice="2.969 0.000 0.000 1.484 2.571 0.000 1.484 0.857 5.998" Properties=species:S:1:pos:R:3 pbc="T T T"
O 1.484 0.857 4.121
O 4.453 2.571 1.878
P 2.969 1.714 2.999
Fe 0.000 0.000 0.000
```



[2]
The following is a DFT calculation (GGA-PBEsol) of crystalline Fe2P2O7 at its relaxed geometry.

## Properties
**M_tot**: 8.0 μB per formula unit
**Formation energy (no corrections)**: -1733.6 meV/atom
**Uncorrected energy**: -7.757 eV/atom
**Theoretical density**: 3.972 g/cm³

Structure (extended XYZ):
```
11
Lattice="4.718 0.117 0.121 -0.735 5.067 0.140 -0.698 -1.274 4.920" Properties=species:S:1:pos:R:3 pbc="T T T"
O 0.345 1.437 1.909
O 0.000 0.000 0.000
P 3.928 0.929 1.207
Fe 1.637 2.985 1.813
Fe 1.647 0.926 3.367
O 3.057 1.965 0.488
O 3.070 -0.056 2.007
O 0.227 1.946 4.692
O 0.215 3.966 3.174
O 2.939 2.473 3.272
P -0.644 2.982 3.974
```



[3]
The following is a DFT calculation (GGA-PBEsol) of crystalline FeP3O9 at its relaxed geometry.

## Properties
**M_tot**: 5.0 μB per formula unit
**Formation energy (no corrections)**: -1952.0 meV/atom
**Uncorrected energy**: -7.612 eV/atom
**Theoretical density**: 3.168 g/cm³

Structure (extended XYZ):
```
52
Lattice="8.422 0.000 0.000 0.000 8.505 0.000 0.000 0.000 8.569" Properties=species:S:1:pos:R:3 pbc="T T T"
O 5.507 2.878 5.280
P 3.925 2.732 1.632
O 1.146 6.918 5.468
O 7.594 0.809 1.542
O 6.577 1.145 3.850
O 0.828 5.061 2.743
O 5.426 8.217 2.193
O 3.368 5.342 5.290
O 2.914 7.130 7.573
O 1.215 4.540 6.376
O 2.996 3.965 2.092
Fe 3.091 7.306 5.537
O 3.383 3.444 7.027
P 6.723 5.900 8.153
Fe 7.302 5.451 3.032
P 4.497 6.985 2.652
O 1.845 5.397 0.435
O 7.206 0.288 6.477
O 7.125 5.627 0.995
O 3.065 1.587 1.184
P 1.698 1.647 4.700
O 3.421 7.462 3.578
P 5.909 2.605 3.869
O 5.039 7.696 5.826
O 2.600 0.708 5.444
O 0.790 1.043 7.863
O 7.632 5.296 4.990
Fe 1.120 1.199 1.253
O 7.578 7.415 3.279
O 5.822 4.960 7.409
O 6.055 7.360 8.134
O 2.366 3.108 4.719
O 6.810 3.545 3.124
Fe 5.331 3.054 7.316
O 8.072 6.155 7.324
O 4.561 2.350 3.040
O 0.843 3.163 1.005
P 1.518 4.359 1.607
P 5.729 8.399 6.962
O 5.054 1.089 7.563
P 8.136 1.520 6.937
O 1.296 1.375 3.289
P 2.513 6.857 0.415
O 1.611 7.797 1.160
O 7.276 2.666 7.385
P 0.286 5.773 5.916
O 0.350 1.903 5.529
O 3.861 6.602 1.245
O 5.357 5.839 3.101
P 2.693 4.146 5.891
P 6.904 0.106 2.677
O 5.001 3.209 0.706
```



no.,calculated volume (Å³ per cell)
1,45.8
2,119.4
3,613.7